! PBE-GGA Pm12Dy5Ho2, optimized geometry; values from VASP
&SYSTEM
  ibrav = 0, nat = 19, ntyp = 3
/
ATOMIC_SPECIES
Pm 145.00 Pm.upf
Dy 162.50 Dy.upf
Ho 164.93 Ho.upf
ATOMIC_POSITIONS crystal
Pm 0.120 0.240 0.001
Pm 0.060 0.606 0.801
Pm 0.546 0.606 0.801
Pm 0.146 0.793 0.383
Pm 0.647 0.793 0.383
Pm 0.445 0.889 0.726
Pm 0.555 0.111 0.274
Pm 0.854 0.207 0.617
Pm 0.353 0.207 0.617
Pm 0.940 0.394 0.199
Pm 0.454 0.394 0.199
Pm 0.880 0.760 0.999
Dy 0.216 0.431 0.553
Dy 0.323 0.646 0.140
Dy 0.000 0.000 0.500
Dy 0.677 0.354 0.860
Dy 0.784 0.569 0.447
Ho 0.770 0.000 0.000
Ho 0.230 0.000 0.000
CELL_PARAMETERS angstrom
-5.295 -9.459 4.410
10.087 2.670 2.309
-3.081 3.601 4.025
! **Uncorrected energy**: -87.3 eV per formula unit
! **SG**: No. 12
! **Spin magnetization**: 0.00 μB/f.u.
! **D(E_F)**: 27.384 states/eV per cell